10
Lattice="5.585 0.000 0.000 2.285 5.439 0.000 2.313 1.162 5.433" Properties=species:S:1:pos:R:3 comment="Ca2TeWO6, optimized geometry, DFT PBE+U" relative_energy_ev_per_fu=0.00 final_energy_ev_per_atom=-6.546 volume_a3_per_cell=165 crystal_system=triclinic magnetic_moment_mub_per_fu=0.00 pbc="T T T"
Ca 0.000 0.000 0.000
Ca 5.235 3.770 3.073
Te 2.768 1.986 1.699
W 7.873 5.673 3.273
O 3.417 4.653 4.306
O 3.975 5.706 1.838
O 6.282 5.544 4.215
O 4.759 1.542 1.706
O 6.203 1.883 3.968
O 7.251 4.351 1.989